Record 1
SrMg4Tc | Alexandria | PBE | optimized geometry; total energy = -0.0985 hartree per atom; E_form = 37.6 kJ per mole of atoms; DOS at the Fermi energy = 4.8 states/eV/cell; magnetization = 2.65 μB/f.u.
1.0
-3.9605 -4.2113 0.8963
-4.4704 -0.6503 -3.7171
-0.1937 -4.6388 -3.5593
Mg Sr Tc
4 1 1
Direct
0.8808 0.3731 0.3731 Mg
0.3731 0.3731 0.3731 Mg
0.3731 0.3731 0.8808 Mg
0.3731 0.8808 0.3731 Mg
0.7500 0.7500 0.7500 Sr
0.0000 0.0000 0.0000 Tc

***

Record 2
SrMg2TlTc | Alexandria | PBE | optimized geometry; total energy = -0.1222 hartree per atom; E_form = 19.0 kJ per mole of atoms; DOS at the Fermi energy = 2.4 states/eV/cell; magnetization = 0.00 μB/f.u.
1.0
5.1178 0.0000 0.0000
0.0000 5.3331 0.0000
0.0000 0.0000 5.1178
Mg Sr Tl Tc
2 1 1 1
Direct
0.5000 0.0000 0.0000 Mg
0.0000 0.0000 0.5000 Mg
0.5000 0.5000 0.5000 Sr
0.0000 0.5000 0.0000 Tl
0.0000 0.0000 0.0000 Tc

***

Record 3
Sr2MgTe2 | Alexandria | PBE | optimized geometry; ΔE_f (raw) = -1.13 eV/atom; total energy = -0.1240 hartree per atom; DOS at the Fermi energy = 0.9 states/eV/cell; magnetization = 0.00 μB/f.u.
1.0
8.8257 0.0000 0.0000
0.0000 8.8257 0.0000
0.0000 0.0000 4.3302
Te Sr Mg
4 4 2
Direct
0.3467 0.8467 0.0000 Te
0.8467 0.6533 0.0000 Te
0.1533 0.3467 0.0000 Te
0.6533 0.1533 0.0000 Te
0.6537 0.8463 0.5000 Sr
0.8463 0.3463 0.5000 Sr
0.3463 0.1537 0.5000 Sr
0.1537 0.6537 0.5000 Sr
0.5000 0.5000 0.0000 Mg
0.0000 0.0000 0.0000 Mg

***

Record 4
Sr2MgTe | Alexandria | PBE | optimized geometry; ΔE_f (raw) = -0.70 eV/atom; total energy = -0.1002 hartree per atom; polymorph energy (0 for the lowest one) = 50 meV per atom; DOS at the Fermi energy = 2.6 states/eV/cell; magnetization = 0.72 μB/f.u.
1.0
4.5127 0.0006 0.0081
2.2602 3.9060 0.0081
2.2300 1.2862 9.3194
Mg Te Sr
1 1 2
Direct
0.2500 0.2500 0.2500 Mg
0.7500 0.7500 0.7500 Te
0.0109 0.0109 0.9682 Sr
0.4891 0.4891 0.5318 Sr